The following is a GGA-PBEsol calculation of a geometry-optimized Ag2Se structure, from the Alexandria database.

Computed properties:
- N(E_F): 3.8 states/eV/cell
- SG: I4_1/amd, No. 141
- Electronic total energy: -3.4823 eV/atom
- ΔE_f (raw): 0.8 kJ per mole of atoms

Cell: 4.067 4.067 13.341 Å, 98.77 98.77 90.00°
Element x y z (fractional)
Ag 0.499 0.999 0.998
Ag 0.001 0.501 0.002
Ag 0.249 0.249 0.498
Ag 0.751 0.751 0.502
Ag 0.666 0.166 0.331
Ag 0.834 0.334 0.669
Ag 0.416 0.416 0.831
Ag 0.584 0.584 0.169
Se 0.324 0.824 0.648
Se 0.176 0.676 0.352
Se 0.074 0.074 0.148
Se 0.926 0.926 0.852